Density functional theory data (PBE-GGA) for crystalline Mg2AlHg2 at its relaxed geometry.

The space group is P4/mbm (No. 127) and the conventional cell measures 7.1967, 7.1967 and 4.2030 Å, with angles of 90.00, 90.00 and 90.00 degrees. The inequivalent atoms are Mg at (0.1602, 0.3398, 0.0000), Al at (0.0000, 0.0000, 0.5000) and Hg at (0.1472, 0.6472, 0.5000).

Its density of states at the Fermi level is 3.77 states/eV per cell. The calculation puts the formation enthalpy at 0 K at -5.4 kJ per mole of atoms. The calculation puts the energy above the most stable polymorph in this dataset at 0 meV/atom.

Density functional theory data (PBE-GGA) for crystalline PdRh2F at its relaxed geometry.

The space group is I-42d (No. 122) and the conventional cell measures 6.7025, 6.7025 and 5.1441 Å, with angles of 90.00, 90.00 and 90.00 degrees. The inequivalent atoms are Pd at (0.0000, 0.0000, 0.0000), Rh at (0.2089, 0.2500, 0.6250) and F at (0.0000, 0.0000, 0.5000).

Its density of states at the Fermi level is 21.13 states/eV per cell. The uncorrected formation energy is 1.2 eV per formula unit. The calculation puts the energy above the most stable polymorph in this dataset at 36 meV/atom.

Density functional theory data (PBE-GGA) for crystalline ZnCuB3 at its relaxed geometry.

The space group is Pm-3m (No. 221) and the conventional cell measures 3.9936, 3.9936 and 3.9936 Å, with angles of 90.00, 90.00 and 90.00 degrees. The inequivalent atoms are Zn at (0.0000, 0.0000, 0.0000), Cu at (0.5000, 0.5000, 0.5000) and B at (0.0000, 0.0000, 0.5000).

Its density of states at the Fermi level is 2.73 states/eV per cell. The calculation puts the formation enthalpy at 0 K at 193.2 kJ per mole of atoms. The calculation puts the energy above the most stable polymorph in this dataset at 418 meV/atom.

Density functional theory data (PBE-GGA) for crystalline V4Cr2Re5 at its relaxed geometry.

The space group is C2/m (No. 12) and the conventional cell measures 19.4058, 2.8911 and 6.0111 Å, with angles of 90.00, 103.32 and 90.00 degrees. The inequivalent atoms are V at (0.0332, 0.0000, 0.1916), V at (0.1169, 0.5000, 0.9792), Cr at (0.2334, 0.0000, 0.8514), Re at (0.0000, 0.5000, 0.5000), Re at (0.1137, 0.0000, 0.6249) and Re at (0.1929, 0.0000, 0.3541).

Its density of states at the Fermi level is 25.50 states/eV per cell. The calculation puts the formation enthalpy at 0 K at 37.4 kJ per mole of atoms.